VASP calculation (GGA-PBE) on crystalline BeNiPCl2 at its relaxed geometry.

SG: No. 123
E (eV/atom): -3.16
Total moment (μB/atom): 0.129
ΔE_f (raw) (eV/f.u.): 2.82

a = 4.5182 Å, b = 4.5182 Å, c = 4.6260 Å
α = 90.00°, β = 90.00°, γ = 90.00°
Last column: nearest neighbours and their distance in Å.
Element x y z (fractional)
P1 0.0000 0.0000 0.5000  2 Ni 2.31
Be1 0.5000 0.5000 0.5000  4 P 3.19, 8 Cl 3.23
Ni1 0.0000 0.0000 0.0000  4 Cl 2.26, 2 P 2.31
Cl1 0.0000 0.5000 0.0000  2 Ni 2.26
Cl2 0.5000 0.0000 0.0000  2 Ni 2.26

VASP calculation (GGA-PBE) on crystalline PmSi2HgPt7 at its relaxed geometry.

SG: No. 119
E (eV/atom): -5.60
Total moment (μB/atom): 0.000
ΔE_f (raw) (eV/f.u.): -3.46

a = 4.0569 Å, b = 4.0569 Å, c = 15.2703 Å
α = 97.63°, β = 97.63°, γ = 90.00°
Last column: nearest neighbours and their distance in Å.
Element x y z (fractional)
Si1 0.1175 0.1175 0.2350  5 Pt 2.21-2.40
Si2 0.8825 0.8825 0.7650  5 Pt 2.21-2.40
Pm1 0.5000 0.5000 0.0000  12 Pt 2.87-3.03
Pt1 0.1912 0.1912 0.3825  1 Si 2.21
Pt2 0.5747 0.0747 0.1494  2 Si 2.40
Pt3 0.0000 0.0000 0.0000  4 Pm 2.87, 8 Pt 3.02-3.03
Pt4 0.4250 0.9250 0.8501  2 Si 2.40
Pt5 0.8088 0.8088 0.6175  1 Si 2.21
Pt6 0.0750 0.5750 0.1499  2 Si 2.40
Pt7 0.9253 0.4253 0.8506  2 Si 2.40
Hg1 0.2500 0.7500 0.5000  4 Pt 2.69

VASP calculation (GGA-PBE) on crystalline NbCuTe2 at its relaxed geometry.

SG: No. 1
E (eV/atom): -5.31
Total moment (μB/atom): 0.000
ΔE_f (raw) (eV/f.u.): -0.80

a = 3.7193 Å, b = 6.6578 Å, c = 8.1426 Å
α = 101.39°, β = 103.23°, γ = 90.00°
Last column: nearest neighbours and their distance in Å.
Element x y z (fractional)
Cu1 0.2330 0.3710 0.0746  3 Te 2.51-2.60, 1 Cu 2.69
Cu2 0.2269 0.9650 0.0675  3 Te 2.51-2.60, 1 Cu 2.69
Nb1 0.4733 0.9814 0.5581  6 Te 2.76-2.93, 2 Nb 3.09
Nb2 0.9866 0.3565 0.5836  6 Te 2.76-2.93, 2 Nb 3.09
Te1 0.6158 0.3006 0.8412  2 Cu 2.60, 3 Nb 2.76-2.84
Te2 0.8441 0.0374 0.3005  2 Cu 2.60, 3 Nb 2.76-2.84
Te3 0.3874 0.5479 0.3856  1 Cu 2.51
Te4 0.0726 0.7899 0.7561  1 Cu 2.51

VASP calculation (GGA-PBE) on crystalline Ru4Pb5 at its relaxed geometry.

SG: No. 139
E (eV/atom): -5.56
Total moment (μB/atom): 0.317
Energy of formation (eV per atom): 0.620

a = 6.9924 Å, b = 6.9924 Å, c = 6.9924 Å
α = 96.03°, β = 96.03°, γ = 142.18°
Last column: nearest neighbours and their distance in Å.
Element x y z (fractional)
Pb1 0.0000 0.0000 0.0000  8 Pb 3.25, 4 Ru 3.46
Pb2 0.3238 0.6762 0.0000  6 Pb 2.99-3.30, 6 Ru 3.06-3.34
Pb3 0.6762 0.3238 0.0000  6 Pb 2.99-3.30, 6 Ru 3.06-3.34
Pb4 0.6762 0.6762 0.3525  6 Pb 2.99-3.30, 6 Ru 3.06-3.34
Pb5 0.3238 0.3238 0.6475  6 Pb 2.99-3.30, 6 Ru 3.06-3.34
Ru1 0.0000 0.6301 0.6301  1 Ru 2.43
Ru2 0.0000 0.3699 0.3699  1 Ru 2.43
Ru3 0.3699 0.0000 0.3699  1 Ru 2.43
Ru4 0.6301 0.0000 0.6301  1 Ru 2.43

VASP calculation (GGA-PBE) on crystalline GdPdPbAu at its relaxed geometry.

SG: No. 216
E (eV/atom): -7.18
Total moment (μB/atom): 1.794
Energy of formation (eV per atom): -0.617

a = 5.0053 Å, b = 5.0053 Å, c = 5.0053 Å
α = 60.00°, β = 60.00°, γ = 60.00°
Last column: nearest neighbours and their distance in Å.
Element x y z (fractional)
Au1 0.0000 0.0000 0.0000  4 Gd 3.07, 4 Pb 3.07
Pd1 0.5000 0.5000 0.5000  4 Gd 3.07, 4 Pb 3.07
Pb1 0.2500 0.2500 0.2500  4 Pd 3.07, 4 Au 3.07
Gd1 0.7500 0.7500 0.7500  4 Au 3.07, 4 Pd 3.07

VASP calculation (GGA-PBE) on crystalline CeTmMgBi at its relaxed geometry.

SG: No. 216
E (eV/atom): -4.21
Total moment (μB/atom): 0.247
Energy of formation (eV per atom): -0.240

a = 5.4317 Å, b = 5.4317 Å, c = 5.4317 Å
α = 60.00°, β = 60.00°, γ = 60.00°
Last column: nearest neighbours and their distance in Å.
Element x y z (fractional)
Bi1 0.5000 0.5000 0.5000  4 Ce 3.33, 4 Tm 3.33
Ce1 0.2500 0.2500 0.2500  4 Bi 3.33, 4 Mg 3.33
Tm1 0.7500 0.7500 0.7500  4 Bi 3.33, 4 Mg 3.33
Mg1 0.0000 0.0000 0.0000  4 Tm 3.33, 4 Ce 3.33